10
Lattice="-5.341 -3.986 8.735 9.400 -4.205 3.829 0.692 3.306 1.932" Properties=species:S:1:pos:R:3 comment="Cs2BaBi2 | the Alexandria database | PBE-GGA | optimized geometry" final_energy_ev_per_atom=-2.493 magnetic_moment_mub_per_cell=0.00 pbc="T T T"
Bi -1.576 -1.849 7.648
Bi 6.328 -3.036 6.848
Bi 2.330 -0.409 3.784
Bi 2.421 -4.476 10.711
Ba 0.000 0.000 0.000
Ba 2.030 -4.095 6.282
Cs -1.107 -5.148 9.206
Cs 5.037 -6.173 8.760
Cs 5.167 -3.043 3.358
Cs -0.977 -2.018 3.804

4
Lattice="5.449 0.000 0.000 2.724 4.719 0.000 2.724 1.573 4.449" Properties=species:S:1:pos:R:3 comment="NdEuScIn | the Alexandria database | PBE-GGA | optimized geometry" final_energy_ev_per_atom=-6.137 magnetic_moment_mub_per_cell=8.21 pbc="T T T"
Nd 5.449 3.146 2.224
Eu 2.724 1.573 1.112
Sc 0.000 0.000 0.000
In 8.173 4.719 3.337

4
Lattice="-3.179 2.776 -3.277 -2.857 -2.736 -3.593 1.038 0.803 5.180" Properties=species:S:1:pos:R:3 comment="SbMoOs2 | the Alexandria database | PBE-GGA | optimized geometry" final_energy_ev_per_atom=-8.830 formation_energy_uncorrected_kj_per_mol_atoms=50.5 magnetic_moment_mub_per_cell=0.00 pbc="T T T"
Mo -2.497 1.800 -0.672
Sb -2.999 0.020 -3.413
Os -2.527 -0.955 -1.048
Os -6.030 0.041 -6.863

14
Lattice="6.896 -0.050 3.940 -2.216 6.530 3.940 0.036 0.050 7.933" Properties=species:S:1:pos:R:3 comment="Dy2AgS4 | the Alexandria database | PBE-GGA | optimized geometry" final_energy_ev_per_atom=-5.475 formation_energy_uncorrected_kj_per_mol_atoms=-134.5 magnetic_moment_mub_per_cell=0.00 pbc="T T T"
S 1.267 1.621 9.801
S 3.462 4.927 9.774
S 3.448 4.909 6.012
S 0.202 4.947 7.908
S 0.095 5.063 11.874
S 1.254 1.602 6.039
S 4.513 1.582 7.905
S 4.621 1.467 3.939
Dy 2.358 3.265 7.907
Dy 3.448 -0.025 1.970
Dy 3.466 0.000 5.937
Dy 0.000 0.000 0.000
Ag 0.041 2.454 3.953
Ag 4.674 4.076 11.860

15
Lattice="-8.913 0.424 0.434 3.907 -5.289 -6.191 4.570 -4.331 6.476" Properties=species:S:1:pos:R:3 comment="Sm4In3Te8 | the Alexandria database | PBE-GGA | optimized geometry" final_energy_ev_per_atom=-4.464 formation_energy_uncorrected_kj_per_mol_atoms=-94.8 magnetic_moment_mub_per_cell=0.00 pbc="T T T"
Te 4.404 -4.571 3.309
Te 6.330 -7.261 0.218
Te -0.049 -4.355 3.581
Te 4.073 -5.050 -3.025
Te 1.907 -7.126 0.439
Te -6.766 -1.936 0.500
Te -2.343 -2.071 0.279
Te -0.386 -4.842 -2.862
Sm -4.457 0.212 0.217
Sm 0.000 0.000 0.000
Sm 2.285 -2.166 3.238
Sm 1.954 -2.645 -3.096
In -2.172 -1.954 3.455
In -0.218 -4.599 0.359
In -2.503 -2.433 -2.879

12
Lattice="3.974 -0.053 0.007 0.034 6.353 -0.007 0.020 0.009 7.950" Properties=species:S:1:pos:R:3 comment="K2SrInF8 | the Alexandria database | PBE-GGA | optimized geometry" final_energy_ev_per_atom=-4.537 formation_energy_uncorrected_kj_per_mol_atoms=-264.2 magnetic_moment_mub_per_cell=1.12 pbc="T T T"
F 2.014 4.859 3.973
F 1.972 1.212 0.002
F 3.969 1.268 1.719
F 0.059 5.041 6.231
F 3.980 1.273 6.242
F 0.048 5.036 1.708
F 2.056 5.098 7.948
F 2.014 1.450 3.977
K 2.020 3.157 6.013
K 2.009 3.152 1.937
In 0.000 0.000 0.000
Sr 0.010 0.005 3.975

5
Lattice="-0.830 -4.422 0.235 4.100 -0.678 1.739 -3.643 3.192 3.997" Properties=species:S:1:pos:R:3 comment="LaHfTaIr2 | the Alexandria database | PBE-GGA | optimized geometry" final_energy_ev_per_atom=-9.627 magnetic_moment_mub_per_cell=0.00 pbc="T T T"
Ir 1.136 -2.390 2.225
Ir -1.510 0.483 3.747
Hf -1.419 -1.890 2.610
La 0.000 0.000 0.000
Ta 1.046 -0.018 3.362

10
Lattice="-1.024 3.542 -4.054 -5.235 2.243 3.282 5.892 2.763 0.926" Properties=species:S:1:pos:R:3 comment="PmAgPd3 | the Alexandria database | PBE-GGA | optimized geometry" final_energy_ev_per_atom=-4.984 magnetic_moment_mub_per_cell=0.00 pbc="T T T"
Ag 0.000 0.000 0.000
Ag -0.512 1.771 -2.027
Pd 2.898 5.316 -1.643
Pd -0.908 4.338 2.168
Pd 0.541 4.211 -2.013
Pd -3.265 3.233 1.797
Pd 0.804 6.213 -0.330
Pd -1.171 2.336 0.485
Pm 1.925 3.475 0.699
Pm -2.291 5.073 -0.544

20
Lattice="-0.288 5.002 -6.797 3.425 -7.424 -2.112 -7.827 -1.239 2.917" Properties=species:S:1:pos:R:3 comment="KPu4Pd3S12 | the Alexandria database | PBE-GGA | optimized geometry" final_energy_ev_per_atom=-7.098 formation_energy_uncorrected_kj_per_mol_atoms=-88.9 magnetic_moment_mub_per_cell=15.00 pbc="T T T"
S -2.487 -6.290 -0.900
S 0.816 -1.037 -6.694
S 1.548 -4.815 -3.482
S -3.307 -0.206 -1.108
S -5.507 -2.624 0.702
S -0.896 -3.160 -1.190
S -4.374 -3.499 -2.516
S -0.317 -0.162 -3.476
S -3.794 -0.501 -4.802
S -2.204 2.629 -5.092
S -1.383 -3.455 -4.884
S -6.239 1.154 -2.510
Pu -2.345 -1.830 -2.996
Pu 1.712 -3.712 -1.056
Pu -0.144 2.501 -3.399
Pu -3.913 -0.620 1.459
Pd 1.568 -1.211 -4.455
Pd -4.058 1.882 -1.940
Pd -2.201 -4.332 0.403
K 0.000 0.000 0.000

15
Lattice="8.958 0.000 0.000 -4.479 7.758 -0.027 0.000 -5.147 7.358" Properties=species:S:1:pos:R:3 comment="Pm3Pr3PuTe8 | the Alexandria database | PBE-GGA | optimized geometry" final_energy_ev_per_atom=-5.941 formation_energy_uncorrected_kj_per_mol_atoms=-135.5 magnetic_moment_mub_per_cell=6.23 pbc="T T T"
Pr 2.240 3.879 -0.013
Pr -2.240 3.879 -0.013
Pr 0.000 0.000 0.000
Te 6.679 -1.263 1.843
Te -2.200 3.875 5.488
Te 4.479 2.546 1.830
Te 0.000 2.592 1.862
Te 2.279 -1.263 1.843
Te 4.479 0.019 5.470
Te 0.000 0.065 5.502
Te 2.200 3.875 5.488
Pm -2.240 1.306 3.666
Pm 2.240 1.306 3.666
Pm 4.479 -2.573 3.679
Pu 0.000 -2.573 3.679

4
Lattice="4.338 0.000 0.000 2.169 3.757 0.000 2.169 1.252 7.419" Properties=species:S:1:pos:R:3 comment="LaPrSiBr | the Alexandria database | PBE-GGA | optimized geometry" final_energy_ev_per_atom=-5.318 formation_energy_uncorrected_kj_per_mol_atoms=-107.8 magnetic_moment_mub_per_cell=0.00 pbc="T T T"
Si 6.507 3.757 6.791
La 6.507 3.757 0.970
Pr 4.338 2.505 5.228
Br 2.169 1.252 3.114

11
Lattice="4.218 0.004 0.006 -0.690 5.789 -0.046 -0.690 -2.272 5.325" Properties=species:S:1:pos:R:3 comment="V8SiC2 | the Alexandria database | PBE-GGA | optimized geometry" final_energy_ev_per_atom=-9.043 formation_energy_uncorrected_kj_per_mol_atoms=-23.3 magnetic_moment_mub_per_cell=0.00 pbc="T T T"
V 2.417 1.387 2.081
V 0.092 -0.323 1.763
V 0.422 2.134 3.203
V 1.420 -0.234 3.971
V 0.092 1.751 0.381
V 2.747 1.770 4.904
V 1.420 3.755 1.313
V 2.747 3.844 3.522
Si 2.109 0.002 0.003
C -0.690 0.266 3.634
C -0.690 3.251 1.645